The following is a meta-GGA SCAN calculation of a PBEsol-optimized structure of ScCoW2Au, from Alexandria.

Geometry as POSCAR:
```
ScCoW2Au
1.0
4.1454 0.0000 0.0000
0.0000 4.5927 0.0000
0.0000 0.0000 4.5927
Sc Co Au W
1 1 1 2
Direct
0.0000 0.0000 0.0000 Sc
0.5000 0.0000 0.0000 Co
0.5000 0.5000 0.5000 Au
0.0000 0.0000 0.5000 W
0.0000 0.5000 0.0000 W
```

Output
SG = No. 123
Mass density = 12.696 Mg/m³
DFT formation energy = 2.282 eV/atom
Electronic total energy = -45.73 eV per atom